VASP calculation (PBEsol) on Li2Ti3CoO8 after structural relaxation.

Calculated values
For the energy above the most stable polymorph in this dataset, the calculation gives 43 kJ/mol of formula units. The crystal system is trigonal. Its density is 4.004 g/cm³.

Cell lengths 5.8987, 5.8987, 14.2211 Å; angles 90.00, 90.00, 120.00 degrees
Space group R3m (No. 160, hexagonal axes)
Inequivalent atoms, fractional coordinates:
Li 0.0000 0.0000 0.0000 [3 per cell]
Li 0.0000 0.0000 0.3806 [3 per cell]
Ti 0.0060 0.5030 0.8824 [9 per cell]
Co 0.0000 0.0000 0.7639 [3 per cell]
O 0.0000 0.0000 0.1396 [3 per cell]
O 0.0000 0.0000 0.6245 [3 per cell]
O 0.0225 0.5113 0.1394 [9 per cell]
O 0.1801 0.3603 0.9525 [9 per cell]